Hf3FeIr | PBE | optimized geometry

Cell: 4.649 4.649 4.649 Å, 90.00 90.00 90.00°
Positions (direct):
Fe 0.000 0.000 0.000
Hf 0.000 0.500 0.000
Hf 0.000 0.000 0.500
Hf 0.500 0.000 0.000
Ir 0.500 0.500 0.500

## Properties
The calculation puts the magnetic moment at 0.00 μB per formula unit. Its symmetry is Pm-3m, No. 221. Its uncorrected energy is -45.91 eV per cell. The energy above the lowest structure with this stoichiometry comes out at 0.000 eV per formula unit.